Below is a relaxed structure of CrNiSeBr2, with properties calculated at the PBE level.

Output
Formation energy from raw total energies, eV per atom: 0.810

The structure in CIF format:
```
data_CrNiSeBr2
_chemical_formula_sum 'Cr1 Ni1 Se1 Br2'
_cell_length_a 4.6598
_cell_length_b 4.6598
_cell_length_c 4.9587
_cell_angle_alpha 90.00
_cell_angle_beta 90.00
_cell_angle_gamma 90.00
_space_group_name_H-M_alt 'P 4/m m m'
_space_group_IT_number 123
_space_group_name_Hall '-P 4 2'
loop_
_atom_site_label
_atom_site_type_symbol
_atom_site_fract_x
_atom_site_fract_y
_atom_site_fract_z
_atom_site_occupancy
Cr1 Cr 0.0000 0.0000 0.0000 1
Ni1 Ni 0.0000 0.0000 0.5000 1
Se1 Se 0.5000 0.5000 0.5000 1
Br1 Br 0.0000 0.5000 0.0000 1
```


Below is a relaxed structure of CrNiSeBr2, with properties calculated at the PBE level.

Output
Formation energy from raw total energies, eV per atom: 0.282

The structure in CIF format:
```
data_CrNiSeBr2
_chemical_formula_sum 'Cr1 Ni1 Se1 Br2'
_cell_length_a 4.8664
_cell_length_b 4.8664
_cell_length_c 4.8486
_cell_angle_alpha 90.00
_cell_angle_beta 90.00
_cell_angle_gamma 90.00
_space_group_name_H-M_alt 'P 4/m m m'
_space_group_IT_number 123
_space_group_name_Hall '-P 4 2'
loop_
_atom_site_label
_atom_site_type_symbol
_atom_site_fract_x
_atom_site_fract_y
_atom_site_fract_z
_atom_site_occupancy
Cr1 Cr 0.0000 0.0000 0.0000 1
Ni1 Ni 0.5000 0.5000 0.5000 1
Se1 Se 0.5000 0.5000 0.0000 1
Br1 Br 0.0000 0.5000 0.5000 1
```


Below is a relaxed structure of CrNiSe2Br, with properties calculated at the PBE level.

Output
Formation energy from raw total energies, eV per atom: 0.368

The structure in CIF format:
```
data_CrNiSe2Br
_chemical_formula_sum 'Cr1 Ni1 Se2 Br1'
_cell_length_a 4.7225
_cell_length_b 4.7225
_cell_length_c 4.9158
_cell_angle_alpha 90.00
_cell_angle_beta 90.00
_cell_angle_gamma 90.00
_space_group_name_H-M_alt 'P 4/m m m'
_space_group_IT_number 123
_space_group_name_Hall '-P 4 2'
loop_
_atom_site_label
_atom_site_type_symbol
_atom_site_fract_x
_atom_site_fract_y
_atom_site_fract_z
_atom_site_occupancy
Cr1 Cr 0.0000 0.0000 0.0000 1
Ni1 Ni 0.5000 0.5000 0.5000 1
Se1 Se 0.0000 0.5000 0.5000 1
Br1 Br 0.5000 0.5000 0.0000 1
```


Below is a relaxed structure of CrNi2SeBr, with properties calculated at the PBE level.

Output
Formation energy from raw total energies, eV per atom: 0.897

The structure in CIF format:
```
data_CrNi2SeBr
_chemical_formula_sum 'Cr1 Ni2 Se1 Br1'
_cell_length_a 4.6588
_cell_length_b 4.6588
_cell_length_c 4.4184
_cell_angle_alpha 90.00
_cell_angle_beta 90.00
_cell_angle_gamma 90.00
_space_group_name_H-M_alt 'P 4/m m m'
_space_group_IT_number 123
_space_group_name_Hall '-P 4 2'
loop_
_atom_site_label
_atom_site_type_symbol
_atom_site_fract_x
_atom_site_fract_y
_atom_site_fract_z
_atom_site_occupancy
Cr1 Cr 0.0000 0.0000 0.0000 1
Ni1 Ni 0.0000 0.5000 0.0000 1
Se1 Se 0.0000 0.0000 0.5000 1
Br1 Br 0.5000 0.5000 0.5000 1
```


Below is a relaxed structure of Cr2NiTeBr, with properties calculated at the PBE level.

Output
Formation energy from raw total energies, eV per atom: 0.610

The structure in CIF format:
```
data_Cr2NiTeBr
_chemical_formula_sum 'Cr2 Ni1 Te1 Br1'
_cell_length_a 5.1127
_cell_length_b 5.1127
_cell_length_c 4.5262
_cell_angle_alpha 90.00
_cell_angle_beta 90.00
_cell_angle_gamma 90.00
_space_group_name_H-M_alt 'P 4/m m m'
_space_group_IT_number 123
_space_group_name_Hall '-P 4 2'
loop_
_atom_site_label
_atom_site_type_symbol
_atom_site_fract_x
_atom_site_fract_y
_atom_site_fract_z
_atom_site_occupancy
Cr1 Cr 0.0000 0.5000 0.0000 1
Ni1 Ni 0.0000 0.0000 0.0000 1
Te1 Te 0.0000 0.0000 0.5000 1
Br1 Br 0.5000 0.5000 0.5000 1
```